1.
The following is a PBE calculation of SnHN2F after structural relaxation, from Alexandria via LeMat-Bulk.

The energy comes out at -0.3090 Ry per atom. The density of states at the Fermi level is 1.5 states/eV/f.u. Its total magnetization is 0.00 Bohr magnetons per cell. As for the theoretical density: 6171 kg/m³.

It has space group P4/mmm (No. 123), with a = 3.346 Å, b = 3.346 Å, c = 4.006 Å, α = 90.00°, β = 90.00° and γ = 90.00°. The inequivalent atoms are Sn at (0.000, 0.000, 0.000), H at (0.500, 0.500, 0.500), N at (0.000, 0.500, 0.500) and F at (0.500, 0.500, 0.000).

***

2.
The following is a PBE calculation of TbPm2Dy6Tm3 after structural relaxation, from Alexandria via LeMat-Bulk.

The density of states at the Fermi level is 15.8 states/eV/f.u. Its total magnetization is 0.00 Bohr magnetons per cell. The value obtained for the formation energy is 19 meV per atom. As for the theoretical density: 8473 kg/m³.

It has space group C2/m (No. 12), with a = 6.148 Å, b = 10.638 Å, c = 11.749 Å, α = 90.00°, β = 100.00° and γ = 90.00°. The inequivalent atoms are Tb at (0.000, 0.000, 0.000), Pm at (0.000, 0.333, 0.000), Dy at (0.247, 0.000, 0.746), Dy at (0.248, 0.334, 0.746), Tm at (0.000, 0.167, 0.500) and Tm at (0.000, 0.500, 0.500).